(1)
Below is Sm5DyY2 after structural relaxation, with properties calculated at the GGA-PBE level.

Structure (CIF):
```
data_Sm5DyY2
_chemical_formula_sum 'Sm10 Dy2 Y4'
_space_group_name_H-M_alt 'P 1'
_space_group_IT_number 1
_cell_length_a 7.213
_cell_length_b 14.427
_cell_length_c 5.087
_cell_angle_alpha 90.00
_cell_angle_beta 90.00
_cell_angle_gamma 90.00
loop_
_space_group_symop_operation_xyz
'x,y,z'
loop_
_atom_site_label
_atom_site_fract_x
_atom_site_fract_y
_atom_site_fract_z
Sm1 0.000 0.000 0.000
Sm2 0.000 0.251 0.000
Sm3 0.000 0.749 0.000
Sm4 0.250 0.125 0.500
Sm5 0.250 0.625 0.500
Sm6 0.500 0.249 0.000
Sm7 0.500 0.500 0.000
Sm8 0.500 0.751 0.000
Sm9 0.750 0.375 0.500
Sm10 0.750 0.875 0.500
Dy1 0.000 0.500 0.000
Dy2 0.500 0.000 0.000
Y1 0.250 0.376 0.500
Y2 0.250 0.876 0.500
Y3 0.750 0.124 0.500
Y4 0.750 0.624 0.500
```

Summary:
* total DFT energy (no corrections): -0.377 Ry per atom
* energy of formation from the pure elements: 0.02 eV/atom
* SG: Pbam (55)
* crystal system: orthorhombic


(2)
Below is Sm4Dy3Y after structural relaxation, with properties calculated at the GGA-PBE level.

Structure (CIF):
```
data_Sm4Dy3Y
_chemical_formula_sum 'Sm8 Dy6 Y2'
_space_group_name_H-M_alt 'P 1'
_space_group_IT_number 1
_cell_length_a 11.473
_cell_length_b 7.318
_cell_length_c 6.322
_cell_angle_alpha 90.00
_cell_angle_beta 90.00
_cell_angle_gamma 90.00
loop_
_space_group_symop_operation_xyz
'x,y,z'
loop_
_atom_site_label
_atom_site_fract_x
_atom_site_fract_y
_atom_site_fract_z
Sm1 0.000 0.126 0.000
Sm2 0.000 0.873 0.502
Sm3 0.249 0.127 0.334
Sm4 0.251 0.873 0.834
Sm5 0.500 0.127 0.002
Sm6 0.500 0.874 0.500
Sm7 0.749 0.873 0.834
Sm8 0.751 0.127 0.334
Dy1 0.000 0.377 0.501
Dy2 0.250 0.377 0.835
Dy3 0.250 0.623 0.335
Dy4 0.500 0.623 0.001
Dy5 0.750 0.377 0.835
Dy6 0.750 0.623 0.335
Y1 0.000 0.623 0.002
Y2 0.500 0.377 0.502
```

Summary:
* total DFT energy (no corrections): -0.358 Ry per atom
* energy of formation from the pure elements: 0.02 eV/atom
* SG: Pmn2_1 (31)
* crystal system: orthorhombic


(3)
Below is Sm4DyY after structural relaxation, with properties calculated at the GGA-PBE level.

Structure (CIF):
```
data_Sm4DyY
_chemical_formula_sum 'Sm4 Dy1 Y1'
_space_group_name_H-M_alt 'P 1'
_space_group_IT_number 1
_cell_length_a 8.256
_cell_length_b 8.256
_cell_length_c 3.468
_cell_angle_alpha 90.00
_cell_angle_beta 90.00
_cell_angle_gamma 90.13
loop_
_space_group_symop_operation_xyz
'x,y,z'
loop_
_atom_site_label
_atom_site_fract_x
_atom_site_fract_y
_atom_site_fract_z
Sm1 0.240 0.760 0.000
Sm2 0.262 0.262 0.500
Sm3 0.738 0.738 0.500
Sm4 0.760 0.240 0.000
Dy1 0.500 0.500 0.000
Y1 0.000 0.000 0.500
```

Summary:
* total DFT energy (no corrections): -0.319 Ry per atom
* energy of formation from the pure elements: 0.65 eV/atom
* SG: Cmmm (65)
* crystal system: orthorhombic


(4)
Below is Sm2Dy3Y after structural relaxation, with properties calculated at the GGA-PBE level.

Structure (CIF):
```
data_Sm2Dy3Y
_chemical_formula_sum 'Sm4 Dy6 Y2'
_space_group_name_H-M_alt 'P 1'
_space_group_IT_number 1
_cell_length_a 9.025
_cell_length_b 9.025
_cell_length_c 9.899
_cell_angle_alpha 123.21
_cell_angle_beta 123.21
_cell_angle_gamma 36.31
loop_
_space_group_symop_operation_xyz
'x,y,z'
loop_
_atom_site_label
_atom_site_fract_x
_atom_site_fract_y
_atom_site_fract_z
Sm1 0.006 0.006 0.157
Sm2 0.267 0.267 0.411
Sm3 0.733 0.733 0.589
Sm4 0.994 0.994 0.843
Dy1 0.114 0.114 0.571
Dy2 0.212 0.212 0.996
Dy3 0.457 0.457 0.297
Dy4 0.543 0.543 0.703
Dy5 0.788 0.788 0.004
Dy6 0.886 0.886 0.429
Y1 0.369 0.369 0.866
Y2 0.631 0.631 0.134
```

Summary:
* total DFT energy (no corrections): -0.357 Ry per atom
* energy of formation from the pure elements: 0.10 eV/atom
* SG: C2/m (12)
* crystal system: monoclinic


(5)
Below is Sm7Dy4Y2 after structural relaxation, with properties calculated at the GGA-PBE level.

Structure (CIF):
```
data_Sm7Dy4Y2
_chemical_formula_sum 'Sm7 Dy4 Y2'
_space_group_name_H-M_alt 'P 1'
_space_group_IT_number 1
_cell_length_a 6.158
_cell_length_b 6.158
_cell_length_c 13.196
_cell_angle_alpha 90.00
_cell_angle_beta 90.00
_cell_angle_gamma 120.00
loop_
_space_group_symop_operation_xyz
'x,y,z'
loop_
_atom_site_label
_atom_site_fract_x
_atom_site_fract_y
_atom_site_fract_z
Sm1 0.000 0.000 0.000
Sm2 0.000 0.368 0.221
Sm3 0.000 0.632 0.779
Sm4 0.368 0.000 0.221
Sm5 0.368 0.368 0.779
Sm6 0.632 0.000 0.779
Sm7 0.632 0.632 0.221
Dy1 0.000 0.000 0.392
Dy2 0.000 0.000 0.608
Dy3 0.333 0.667 0.500
Dy4 0.667 0.333 0.500
Y1 0.333 0.667 0.000
Y2 0.667 0.333 0.000
```

Summary:
* total DFT energy (no corrections): -0.352 Ry per atom
* energy of formation from the pure elements: 0.16 eV/atom
* SG: P-31m (162)
* crystal system: trigonal


(6)
Below is Sm5DyY3 after structural relaxation, with properties calculated at the GGA-PBE level.

Structure (CIF):
```
data_Sm5DyY3
_chemical_formula_sum 'Sm10 Dy2 Y6'
_space_group_name_H-M_alt 'P 1'
_space_group_IT_number 1
_cell_length_a 8.858
_cell_length_b 8.858
_cell_length_c 11.593
_cell_angle_alpha 108.49
_cell_angle_beta 108.49
_cell_angle_gamma 44.88
loop_
_space_group_symop_operation_xyz
'x,y,z'
loop_
_atom_site_label
_atom_site_fract_x
_atom_site_fract_y
_atom_site_fract_z
Sm1 0.107 0.113 0.549
Sm2 0.113 0.107 0.049
Sm3 0.184 0.816 0.750
Sm4 0.235 0.421 0.650
Sm5 0.421 0.235 0.150
Sm6 0.579 0.765 0.850
Sm7 0.765 0.579 0.350
Sm8 0.816 0.184 0.250
Sm9 0.887 0.893 0.951
Sm10 0.893 0.887 0.451
Dy1 0.263 0.737 0.250
Dy2 0.737 0.263 0.750
Y1 0.139 0.340 0.869
Y2 0.340 0.139 0.369
Y3 0.500 0.500 0.000
Y4 0.500 0.500 0.500
Y5 0.660 0.861 0.631
Y6 0.861 0.660 0.131
```

Summary:
* total DFT energy (no corrections): -0.376 Ry per atom
* energy of formation from the pure elements: 0.17 eV/atom
* SG: C2/c (15)
* crystal system: monoclinic


(7)
Below is Sm6DyY12 after structural relaxation, with properties calculated at the GGA-PBE level.

Structure (CIF):
```
data_Sm6DyY12
_chemical_formula_sum 'Sm6 Dy1 Y12'
_space_group_name_H-M_alt 'P 1'
_space_group_IT_number 1
_cell_length_a 8.770
_cell_length_b 8.770
_cell_length_c 8.770
_cell_angle_alpha 99.03
_cell_angle_beta 99.03
_cell_angle_gamma 99.03
loop_
_space_group_symop_operation_xyz
'x,y,z'
loop_
_atom_site_label
_atom_site_fract_x
_atom_site_fract_y
_atom_site_fract_z
Sm1 0.159 0.597 0.597
Sm2 0.403 0.403 0.841
Sm3 0.403 0.841 0.403
Sm4 0.597 0.159 0.597
Sm5 0.597 0.597 0.159
Sm6 0.841 0.403 0.403
Dy1 0.500 0.500 0.500
Y1 0.000 0.259 0.741
Y2 0.000 0.741 0.259
Y3 0.147 0.147 0.418
Y4 0.147 0.418 0.147
Y5 0.259 0.000 0.741
Y6 0.259 0.741 0.000
Y7 0.418 0.147 0.147
Y8 0.582 0.853 0.853
Y9 0.741 0.000 0.259
Y10 0.741 0.259 0.000
Y11 0.853 0.582 0.853
Y12 0.853 0.853 0.582
```

Summary:
* total DFT energy (no corrections): -0.412 Ry per atom
* energy of formation from the pure elements: 0.21 eV/atom
* SG: R-3m (166)
* crystal system: trigonal


(8)
Below is Sm4Dy2Y after structural relaxation, with properties calculated at the GGA-PBE level.

Structure (CIF):
```
data_Sm4Dy2Y
_chemical_formula_sum 'Sm8 Dy4 Y2'
_space_group_name_H-M_alt 'P 1'
_space_group_IT_number 1
_cell_length_a 6.228
_cell_length_b 6.614
_cell_length_c 11.588
_cell_angle_alpha 90.00
_cell_angle_beta 104.64
_cell_angle_gamma 90.00
loop_
_space_group_symop_operation_xyz
'x,y,z'
loop_
_atom_site_label
_atom_site_fract_x
_atom_site_fract_y
_atom_site_fract_z
Sm1 0.039 0.250 0.362
Sm2 0.149 0.250 0.951
Sm3 0.349 0.509 0.214
Sm4 0.349 0.991 0.214
Sm5 0.651 0.009 0.786
Sm6 0.651 0.491 0.786
Sm7 0.851 0.750 0.049
Sm8 0.961 0.750 0.638
Dy1 0.290 0.750 0.923
Dy2 0.392 0.750 0.507
Dy3 0.608 0.250 0.493
Dy4 0.710 0.250 0.077
Y1 0.152 0.250 0.663
Y2 0.848 0.750 0.337
```

Summary:
* total DFT energy (no corrections): -0.353 Ry per atom
* energy of formation from the pure elements: 0.13 eV/atom
* SG: P2_1/m (11)
* crystal system: monoclinic


(9)
Below is Sm5Dy12Y after structural relaxation, with properties calculated at the GGA-PBE level.

Structure (CIF):
```
data_Sm5Dy12Y
_chemical_formula_sum 'Sm5 Dy12 Y1'
_space_group_name_H-M_alt 'P 1'
_space_group_IT_number 1
_cell_length_a 10.700
_cell_length_b 10.700
_cell_length_c 6.176
_cell_angle_alpha 106.63
_cell_angle_beta 106.63
_cell_angle_gamma 60.00
loop_
_space_group_symop_operation_xyz
'x,y,z'
loop_
_atom_site_label
_atom_site_fract_x
_atom_site_fract_y
_atom_site_fract_z
Sm1 0.000 0.000 0.000
Sm2 0.167 0.167 0.500
Sm3 0.334 0.334 0.999
Sm4 0.666 0.666 0.001
Sm5 0.833 0.833 0.500
Dy1 0.001 0.666 0.000
Dy2 0.166 0.501 0.500
Dy3 0.168 0.832 0.500
Dy4 0.333 0.667 0.000
Dy5 0.334 0.999 0.000
Dy6 0.499 0.834 0.500
Dy7 0.501 0.166 0.500
Dy8 0.666 0.001 0.000
Dy9 0.667 0.333 0.000
Dy10 0.832 0.168 0.500
Dy11 0.834 0.499 0.500
Dy12 0.999 0.334 0.000
Y1 0.500 0.500 0.500
```

Summary:
* total DFT energy (no corrections): -0.347 Ry per atom
* energy of formation from the pure elements: 0.02 eV/atom
* SG: C2/m (12)
* crystal system: monoclinic


(10)
Below is Sm3Dy7Y after structural relaxation, with properties calculated at the GGA-PBE level.

Structure (CIF):
```
data_Sm3Dy7Y
_chemical_formula_sum 'Sm3 Dy7 Y1'
_space_group_name_H-M_alt 'P 1'
_space_group_IT_number 1
_cell_length_a 6.982
_cell_length_b 5.538
_cell_length_c 9.988
_cell_angle_alpha 90.00
_cell_angle_beta 110.35
_cell_angle_gamma 90.00
loop_
_space_group_symop_operation_xyz
'x,y,z'
loop_
_atom_site_label
_atom_site_fract_x
_atom_site_fract_y
_atom_site_fract_z
Sm1 0.000 0.000 0.000
Sm2 0.282 0.500 0.499
Sm3 0.718 0.500 0.501
Dy1 0.000 0.000 0.500
Dy2 0.145 0.500 0.790
Dy3 0.321 0.500 0.139
Dy4 0.416 0.000 0.330
Dy5 0.584 0.000 0.670
Dy6 0.679 0.500 0.861
Dy7 0.855 0.500 0.210
Y1 0.500 0.000 0.000
```

Summary:
* total DFT energy (no corrections): -0.343 Ry per atom
* energy of formation from the pure elements: 0.14 eV/atom
* SG: P2/m (10)
* crystal system: monoclinic


(11)
Below is SmDy5Y6 after structural relaxation, with properties calculated at the GGA-PBE level.

Structure (CIF):
```
data_SmDy5Y6
_chemical_formula_sum 'Sm1 Dy5 Y6'
_space_group_name_H-M_alt 'P 1'
_space_group_IT_number 1
_cell_length_a 6.170
_cell_length_b 6.170
_cell_length_c 11.808
_cell_angle_alpha 94.98
_cell_angle_beta 94.98
_cell_angle_gamma 119.96
loop_
_space_group_symop_operation_xyz
'x,y,z'
loop_
_atom_site_label
_atom_site_fract_x
_atom_site_fract_y
_atom_site_fract_z
Sm1 0.000 0.000 0.000
Dy1 0.167 0.833 0.500
Dy2 0.333 0.667 0.000
Dy3 0.500 0.500 0.500
Dy4 0.667 0.333 0.000
Dy5 0.833 0.167 0.500
Y1 0.084 0.417 0.251
Y2 0.250 0.250 0.749
Y3 0.417 0.084 0.251
Y4 0.583 0.916 0.749
Y5 0.750 0.750 0.251
Y6 0.916 0.583 0.749
```

Summary:
* total DFT energy (no corrections): -0.406 Ry per atom
* energy of formation from the pure elements: 0.02 eV/atom
* SG: C2/m (12)
* crystal system: monoclinic


(12)
Below is Sm2DyY3 after structural relaxation, with properties calculated at the GGA-PBE level.

Structure (CIF):
```
data_Sm2DyY3
_chemical_formula_sum 'Sm4 Dy2 Y6'
_space_group_name_H-M_alt 'P 1'
_space_group_IT_number 1
_cell_length_a 8.900
_cell_length_b 8.900
_cell_length_c 6.029
_cell_angle_alpha 109.65
_cell_angle_beta 109.65
_cell_angle_gamma 66.21
loop_
_space_group_symop_operation_xyz
'x,y,z'
loop_
_atom_site_label
_atom_site_fract_x
_atom_site_fract_y
_atom_site_fract_z
Sm1 0.087 0.647 0.615
Sm2 0.353 0.913 0.885
Sm3 0.647 0.087 0.115
Sm4 0.913 0.353 0.385
Dy1 0.500 0.500 0.000
Dy2 0.500 0.500 0.500
Y1 0.110 0.890 0.250
Y2 0.184 0.350 0.023
Y3 0.350 0.184 0.523
Y4 0.650 0.816 0.477
Y5 0.816 0.650 0.977
Y6 0.890 0.110 0.750
```

Summary:
* total DFT energy (no corrections): -0.398 Ry per atom
* energy of formation from the pure elements: 0.15 eV/atom
* SG: C2/c (15)
* crystal system: monoclinic


Question: Look up the total DFT energy (no corrections) of the seventh one.
Answer: -0.412 Ry per atom


Question: The lowest total DFT energy (no corrections) belongs to which entry?
Answer: Sm6DyY12


Question: Number 7 is which compound?
Answer: Sm6DyY12